Record 1
Below is an optimized crystal structure of CsAc4Se6, with properties calculated at the PBE-GGA level.

Computed properties:
Space-group type   P-6m2, No. 187
E above lowest polymorph   194.8 meV per atom
Formation energy from raw total energies   -18.26 eV per formula unit

a = 4.6272 Å, b = 9.4907 Å, c = 9.4907 Å
α = 120.00°, β = 90.00°, γ = 90.00°
Last column: nearest neighbours and their distance in Å.
Fractional coordinates of all 11 atoms:
1 Se 0.5000 0.6481 0.8240  2 Ac 3.10
2 Se 0.5000 0.1760 0.3519  2 Ac 3.10
3 Se 0.0000 0.5336 0.4664  5 Ac 3.19-3.29
4 Se 0.0000 0.5336 0.0672  5 Ac 3.19-3.29
5 Se 0.0000 0.9328 0.4664  5 Ac 3.19-3.29
6 Se 0.5000 0.1760 0.8240  2 Ac 3.10
7 Ac 0.5000 0.8011 0.1989  6 Se 3.10-3.19
8 Ac 0.5000 0.8011 0.6023  6 Se 3.10-3.19
9 Ac 0.5000 0.3977 0.1989  6 Se 3.10-3.19
10 Ac 0.0000 0.3333 0.6667  9 Se 3.29-3.47
11 Cs 0.0000 0.0000 0.0000  6 Se 3.70, 6 Ac 4.00

Record 2
Below is an optimized crystal structure of Cs6H3AuF2, with properties calculated at the PBE-GGA level.

Computed properties:
Space-group type   C2/m, No. 12
Electronic total energy   -2.842 eV per atom

a = 4.5331 Å, b = 9.3375 Å, c = 10.3423 Å
α = 102.96°, β = 102.66°, γ = 90.00°
Last column: nearest neighbours and their distance in Å.
Fractional coordinates of all 12 atoms:
1 Cs 0.3292 0.4308 0.6585  3 F 3.03-3.10, 3 H 3.30-3.36
2 Cs 0.9978 0.2808 0.9957  3 H 3.05-3.24
3 Cs 0.3227 0.8917 0.6455  1 H 3.06, 2 F 3.18
4 Cs 0.6773 0.1083 0.3545  1 H 3.06, 2 F 3.18
5 Cs 0.6708 0.5692 0.3415  3 F 3.03-3.10, 3 H 3.30-3.36
6 Cs 0.0022 0.7192 0.0043  3 H 3.05-3.24
7 H 0.8332 0.1761 0.6664  4 Cs 3.06-3.30
8 H 0.1668 0.8239 0.3336  4 Cs 3.06-3.30
9 H 0.5000 0.5000 0.0000  6 Cs 3.05-3.36
10 F 0.1752 0.3454 0.3504  5 Cs 3.03-3.18
11 F 0.8248 0.6546 0.6496  5 Cs 3.03-3.18
12 Au 0.5000 0.0000 0.0000  6 Cs 3.47-3.49

Record 3
Below is an optimized crystal structure of HoErRhPb, with properties calculated at the PBE-GGA level.

Computed properties:
Space-group type   P4mm, No. 99
E above lowest polymorph   0.0 meV per atom

a = 3.4685 Å, b = 3.4685 Å, c = 7.9662 Å
α = 90.00°, β = 90.00°, γ = 90.00°
Last column: nearest neighbours and their distance in Å.
Fractional coordinates of all 4 atoms:
1 Er 0.5000 0.5000 0.3648  4 Rh 2.95, 1 Ho 3.29
2 Pb 0.0000 0.0000 0.0724  4 Er 3.38, 4 Ho 3.39, 4 Pb 3.47
3 Ho 0.5000 0.5000 0.7779  4 Rh 2.96, 1 Er 3.29
4 Rh 0.0000 0.0000 0.5696  4 Er 2.95, 4 Ho 2.96

Record 4
Below is an optimized crystal structure of Ta2CrOs2, with properties calculated at the PBE-GGA level.

Computed properties:
Space-group type   I4/mmm, No. 139
E above lowest polymorph   94.0 meV per atom

a = 6.1827 Å, b = 6.1827 Å, c = 6.1827 Å
α = 139.65°, β = 139.65°, γ = 58.39°
Last column: nearest neighbours and their distance in Å.
Fractional coordinates of all 5 atoms:
1 Os 0.6155 0.6155 0.0000  1 Os 2.49, 4 Ta 2.58
2 Os 0.3845 0.3845 0.0000  1 Os 2.49, 4 Ta 2.58
3 Cr 0.0000 0.0000 0.0000  8 Os 3.26, 8 Ta 3.44
4 Ta 0.7500 0.2500 0.5000  4 Os 2.58
5 Ta 0.2500 0.7500 0.5000  4 Os 2.58

Please write out number 4 again, unchanged.
Below is an optimized crystal structure of Ta2CrOs2, with properties calculated at the PBE-GGA level.

Computed properties:
Space-group type   I4/mmm, No. 139
E above lowest polymorph   94.0 meV per atom

a = 6.1827 Å, b = 6.1827 Å, c = 6.1827 Å
α = 139.65°, β = 139.65°, γ = 58.39°
Last column: nearest neighbours and their distance in Å.
Fractional coordinates of all 5 atoms:
1 Os 0.6155 0.6155 0.0000  1 Os 2.49, 4 Ta 2.58
2 Os 0.3845 0.3845 0.0000  1 Os 2.49, 4 Ta 2.58
3 Cr 0.0000 0.0000 0.0000  8 Os 3.26, 8 Ta 3.44
4 Ta 0.7500 0.2500 0.5000  4 Os 2.58
5 Ta 0.2500 0.7500 0.5000  4 Os 2.58